Entry 1:
Compound: NaSn6Pb2
Source: Alexandria via LeMat-Bulk
Functional: PBE
Structure: relaxed

a = 3.2661 Å, b = 9.5101 Å, c = 9.5100 Å
α = 59.86°, β = 90.00°, γ = 90.00°
Closest atoms and distances in Å follow each position.
Fractional positions:
Na  0.0000  0.0000  0.0000  2 Na 3.27, 12 Sn 3.58
Sn  0.5001  0.6645  0.0000  5 Sn 3.13-3.27
Sn  0.4999  0.0000  0.3355  5 Sn 3.13-3.27
Sn  0.4999  0.3355  0.0000  5 Sn 3.13-3.27
Sn  0.5000  0.6647  0.3353  5 Sn 3.13-3.27
Sn  0.5001  0.0000  0.6645  5 Sn 3.13-3.27
Sn  0.5000  0.3353  0.6647  5 Sn 3.13-3.27
Pb  0.0003  0.3334  0.3334  2 Pb 3.27, 12 Sn 3.55-3.56
Pb  0.9997  0.6666  0.6666  2 Pb 3.27, 12 Sn 3.55-3.56

Entry 2:
Compound: NaSn3Pb2
Source: Alexandria via LeMat-Bulk
Functional: PBE
Structure: relaxed

a = 3.4793 Å, b = 7.5634 Å, c = 17.9386 Å
α = 50.22°, β = 90.00°, γ = 103.30°
Closest atoms and distances in Å follow each position.
Fractional positions:
Na  0.6234  0.2468  0.7093  6 Sn 3.34-3.51, 4 Pb 3.43-3.54, 2 Na 3.48
Na  0.3766  0.7532  0.2907  6 Sn 3.34-3.51, 4 Pb 3.43-3.54, 2 Na 3.48
Sn  0.8796  0.7593  0.7912  2 Na 3.34, 4 Pb 3.36-3.51, 6 Sn 3.38-3.48
Sn  0.1204  0.2407  0.2088  2 Na 3.34, 4 Pb 3.36-3.51, 6 Sn 3.38-3.48
Sn  0.3699  0.7398  0.9582  7 Sn 3.28-3.48, 4 Pb 3.43-3.56, 1 Na 3.46
Sn  0.6301  0.2602  0.0418  7 Sn 3.28-3.48, 4 Pb 3.43-3.56, 1 Na 3.46
Sn  0.1249  0.2498  0.5452  5 Sn 3.37-3.48, 4 Pb 3.40-3.49, 3 Na 3.41-3.51
Sn  0.8751  0.7502  0.4548  5 Sn 3.37-3.48, 4 Pb 3.40-3.49, 3 Na 3.41-3.51
Pb  0.1326  0.2652  0.8760  6 Sn 3.36-3.56, 4 Pb 3.48-3.49, 2 Na 3.54
Pb  0.8674  0.7348  0.1240  6 Sn 3.36-3.56, 4 Pb 3.48-3.49, 2 Na 3.54
Pb  0.3776  0.7552  0.6224  4 Pb 3.38-3.48, 6 Sn 3.40-3.51, 2 Na 3.43
Pb  0.6224  0.2448  0.3776  4 Pb 3.38-3.48, 6 Sn 3.40-3.51, 2 Na 3.43

Entry 3:
Compound: NaSnPb4
Source: Alexandria via LeMat-Bulk
Functional: PBE
Structure: relaxed

a = 6.1689 Å, b = 6.1669 Å, c = 11.3800 Å
α = 111.61°, β = 111.33°, γ = 69.83°
Closest atoms and distances in Å follow each position.
Fractional positions:
Na  0.7503  0.7502  0.0000  10 Pb 3.41-3.56, 2 Na 3.53
Na  0.2497  0.2498  0.0000  10 Pb 3.41-3.56, 2 Na 3.53
Sn  0.5000  0.0000  0.5000  10 Pb 3.34-3.52, 2 Sn 3.53
Sn  0.0000  0.5000  0.5000  10 Pb 3.34-3.52, 2 Sn 3.53
Pb  0.6637  0.1655  0.8277  1 Sn 3.34, 7 Pb 3.50-3.53, 4 Na 3.53-3.56
Pb  0.8358  0.3348  0.1723  1 Sn 3.34, 7 Pb 3.50-3.53, 4 Na 3.53-3.56
Pb  0.3363  0.8345  0.1723  1 Sn 3.34, 7 Pb 3.50-3.53, 4 Na 3.53-3.56
Pb  0.1642  0.6652  0.8277  1 Sn 3.34, 7 Pb 3.50-3.53, 4 Na 3.53-3.56
Pb  0.0825  0.0833  0.6654  7 Pb 3.37-3.53, 1 Na 3.41, 4 Sn 3.51-3.52
Pb  0.4172  0.4166  0.3346  7 Pb 3.37-3.53, 1 Na 3.41, 4 Sn 3.51-3.52
Pb  0.9175  0.9167  0.3346  7 Pb 3.37-3.53, 1 Na 3.41, 4 Sn 3.51-3.52
Pb  0.5828  0.5834  0.6654  7 Pb 3.37-3.53, 1 Na 3.41, 4 Sn 3.51-3.52

Entry 4:
Compound: Na4Sn4Pb3
Source: Alexandria via LeMat-Bulk
Functional: PBE
Structure: relaxed

a = 3.2732 Å, b = 5.3919 Å, c = 18.1100 Å
α = 82.23°, β = 79.91°, γ = 89.98°
Closest atoms and distances in Å follow each position.
Fractional positions:
Na  0.5954  0.5497  0.9031  3 Na 3.27-3.42, 4 Sn 3.48-3.54, 6 Pb 3.56-3.61
Na  0.4046  0.4503  0.0969  3 Na 3.27-3.42, 4 Sn 3.48-3.54, 6 Pb 3.56-3.61
Na  0.1375  0.8169  0.3655  2 Na 3.27, 4 Pb 3.50-3.56, 8 Sn 3.52-3.61
Na  0.8625  0.1830  0.6345  2 Na 3.27, 4 Pb 3.50-3.56, 8 Sn 3.52-3.61
Sn  0.1845  0.0946  0.8165  3 Pb 3.15-3.24, 2 Sn 3.27, 3 Na 3.48-3.52
Sn  0.5395  0.2700  0.4577  4 Sn 3.07-3.27, 1 Pb 3.21
Sn  0.4604  0.7299  0.5423  4 Sn 3.07-3.27, 1 Pb 3.21
Sn  0.8155  0.9054  0.1835  3 Pb 3.15-3.24, 2 Sn 3.27, 3 Na 3.48-3.52
Pb  0.2673  0.6380  0.7238  3 Sn 3.15-3.21, 2 Pb 3.27, 2 Na 3.50-3.52
Pb  0.7327  0.3620  0.2762  3 Sn 3.15-3.21, 2 Pb 3.27, 2 Na 3.50-3.52
Pb  0.0000  0.0000  0.0000  2 Sn 3.24, 2 Pb 3.27, 8 Na 3.56-3.61

Entry 5:
Compound: Na3SnPb
Source: Alexandria via LeMat-Bulk
Functional: PBE
Structure: relaxed

a = 5.7650 Å, b = 5.7650 Å, c = 5.7650 Å
α = 90.00°, β = 90.00°, γ = 90.00°
Closest atoms and distances in Å follow each position.
Fractional positions:
Pb  0.5000  0.5000  0.5000  12 Na 4.08
Na  0.0000  0.5000  0.0000  2 Sn 2.88
Na  0.0000  0.0000  0.5000  2 Sn 2.88
Na  0.5000  0.0000  0.0000  2 Sn 2.88
Sn  0.0000  0.0000  0.0000  6 Na 2.88

Entry 6:
Compound: Na3SnPb12
Source: Alexandria via LeMat-Bulk
Functional: PBE
Structure: relaxed

a = 4.8522 Å, b = 4.8522 Å, c = 20.4344 Å
α = 90.00°, β = 90.00°, γ = 90.00°
Closest atoms and distances in Å follow each position.
Fractional positions:
Na  0.0000  0.0000  0.2535  12 Pb 3.43-3.53
Na  0.0000  0.0000  0.5000  12 Pb 3.43-3.51
Na  0.0000  0.0000  0.7465  12 Pb 3.43-3.53
Sn  0.0000  0.0000  0.0000  12 Pb 3.43-3.57
Pb  0.5000  0.5000  0.0000  4 Sn 3.43, 8 Pb 3.57
Pb  0.5000  0.5000  0.2525  4 Na 3.43, 8 Pb 3.50-3.52
Pb  0.5000  0.5000  0.5000  4 Na 3.43, 8 Pb 3.51
Pb  0.5000  0.5000  0.7475  4 Na 3.43, 8 Pb 3.50-3.52
Pb  0.5000  0.0000  0.1280  8 Pb 3.43-3.57, 2 Na 3.53, 2 Sn 3.57
Pb  0.5000  0.0000  0.3760  8 Pb 3.43-3.51, 4 Na 3.49-3.51
Pb  0.5000  0.0000  0.6240  8 Pb 3.43-3.51, 4 Na 3.49-3.51
Pb  0.5000  0.0000  0.8720  8 Pb 3.43-3.57, 2 Na 3.53, 2 Sn 3.57
Pb  0.0000  0.5000  0.1280  8 Pb 3.43-3.57, 2 Na 3.53, 2 Sn 3.57
Pb  0.0000  0.5000  0.3760  8 Pb 3.43-3.51, 4 Na 3.49-3.51
Pb  0.0000  0.5000  0.6240  8 Pb 3.43-3.51, 4 Na 3.49-3.51
Pb  0.0000  0.5000  0.8720  8 Pb 3.43-3.57, 2 Na 3.53, 2 Sn 3.57

| no. | formation energy from the elements (eV per atom) | mass density (g/cm3) |
| --- | --- | --- |
| 1 | -0.021 | 7.5 |
| 2 | -0.022 | 7.6 |
| 3 | -0.042 | 8.9 |
| 4 | -0.127 | 6.3 |
| 5 | 0.273 | 3.4 |
| 6 | -0.075 | 9.2 |